VASP calculation (PBE) on a geometry-optimized LaPm4Hg2 structure.

Lattice parameters (Å, degrees): 11.1338 11.1338 11.1338 26.50 26.50 26.50
With the nearest neighbours (Å) after each atom.
Fractional positions:
La (0.0000, 0.0000, 0.0000)  2 Hg 3.24, 6 Pm 3.50
Pm (0.2022, 0.2022, 0.2022)  4 Hg 3.11-3.27
Pm (0.3921, 0.3921, 0.3921)  3 Hg 3.24, 3 La 3.50
Pm (0.6079, 0.6079, 0.6079)  3 Hg 3.24, 3 La 3.50
Pm (0.7978, 0.7978, 0.7978)  4 Hg 3.11-3.27
Hg (0.1007, 0.1007, 0.1007)  7 Pm 3.11-3.27, 1 La 3.24
Hg (0.8993, 0.8993, 0.8993)  7 Pm 3.11-3.27, 1 La 3.24

Results
raw total energy	-3.48	eV per atom
formation energy from the elements	0.02	eV/atom
D(E_F)	13.28	states/eV/cell

VASP calculation (PBE) on a geometry-optimized La3Pm2Hg structure.

Lattice parameters (Å, degrees): 6.3346 6.3346 11.7202 95.19 95.19 120.02
With the nearest neighbours (Å) after each atom.
Fractional positions:
La (0.0754, 0.4216, 0.7617)  2 Hg 3.44-3.45, 4 Pm 3.51-3.71, 6 La 3.59-3.80
La (0.2357, 0.2357, 0.2390)  2 Hg 3.45, 4 Pm 3.51-3.68, 6 La 3.59-3.78
La (0.4216, 0.0754, 0.7617)  2 Hg 3.44-3.45, 4 Pm 3.51-3.71, 6 La 3.59-3.80
La (0.5784, 0.9246, 0.2383)  2 Hg 3.44-3.45, 4 Pm 3.51-3.71, 6 La 3.59-3.80
La (0.7643, 0.7643, 0.7610)  2 Hg 3.45, 4 Pm 3.51-3.68, 6 La 3.59-3.78
La (0.9246, 0.5784, 0.2383)  2 Hg 3.44-3.45, 4 Pm 3.51-3.71, 6 La 3.59-3.80
Pm (0.0000, 0.0000, 0.5000)  6 Pm 3.64-3.70, 6 La 3.64-3.71
Pm (0.3369, 0.6631, 0.5000)  6 Pm 3.58-3.70, 6 La 3.66-3.70
Pm (0.5000, 0.5000, 0.0000)  6 La 3.51, 6 Hg 3.66
Pm (0.6631, 0.3369, 0.5000)  6 Pm 3.58-3.70, 6 La 3.66-3.70
Hg (0.1664, 0.8336, 0.0000)  6 La 3.44-3.45, 3 Hg 3.65-3.66, 3 Pm 3.66
Hg (0.8336, 0.1664, 0.0000)  6 La 3.44-3.45, 3 Hg 3.65-3.66, 3 Pm 3.66

Results
raw total energy	-4.17	eV per atom
formation energy from the elements	-0.07	eV/atom
D(E_F)	15.43	states/eV/cell

VASP calculation (PBE) on a geometry-optimized LaPmHg structure.

Lattice parameters (Å, degrees): 7.5796 3.8350 12.8631 90.00 90.00 90.00
With the nearest neighbours (Å) after each atom.
Fractional positions:
La (0.1335, 0.2500, 0.0903)  4 Hg 3.34-3.45, 2 La 3.63, 3 Pm 3.65-3.71
La (0.3665, 0.7500, 0.5903)  4 Hg 3.34-3.45, 2 La 3.63, 3 Pm 3.65-3.71
La (0.6335, 0.2500, 0.4097)  4 Hg 3.34-3.45, 2 La 3.63, 3 Pm 3.65-3.71
La (0.8665, 0.7500, 0.9097)  4 Hg 3.34-3.45, 2 La 3.63, 3 Pm 3.65-3.71
Pm (0.1141, 0.2500, 0.3937)  4 Hg 3.23-3.31
Pm (0.3859, 0.7500, 0.8937)  4 Hg 3.23-3.31
Pm (0.6141, 0.2500, 0.1063)  4 Hg 3.23-3.31
Pm (0.8859, 0.7500, 0.6063)  4 Hg 3.23-3.31
Hg (0.1255, 0.2500, 0.7618)  4 Pm 3.23-3.31, 4 La 3.34-3.45
Hg (0.3745, 0.7500, 0.2618)  4 Pm 3.23-3.31, 4 La 3.34-3.45
Hg (0.6255, 0.2500, 0.7382)  4 Pm 3.23-3.31, 4 La 3.34-3.45
Hg (0.8745, 0.7500, 0.2382)  4 Pm 3.23-3.31, 4 La 3.34-3.45

Results
E above lowest polymorph	0.25	kcal/mol of atoms
raw total energy	-3.64	eV per atom
formation energy from the elements	-0.32	eV/atom
D(E_F)	15.58	states/eV/cell

VASP calculation (PBE) on a geometry-optimized La2Pm3Hg3 structure.

Lattice parameters (Å, degrees): 11.8766 11.8766 11.8766 161.21 153.38 32.78
With the nearest neighbours (Å) after each atom.
Fractional positions:
La (0.2315, 0.2315, 0.0000)  2 Hg 3.29, 4 La 3.46
La (0.7685, 0.7685, 0.0000)  2 Hg 3.29, 4 La 3.46
Pm (0.0000, 0.0000, 0.0000)  8 Hg 3.26-3.35
Pm (0.3817, 0.8817, 0.5000)  6 Hg 3.32-3.35
Pm (0.6183, 0.1183, 0.5000)  6 Hg 3.32-3.35
Hg (0.1148, 0.6148, 0.5000)  6 Pm 3.26-3.35, 2 La 3.29
Hg (0.5000, 0.5000, 0.0000)  8 Pm 3.32-3.35
Hg (0.8852, 0.3852, 0.5000)  6 Pm 3.26-3.35, 2 La 3.29

Results
raw total energy	-3.47	eV per atom
formation energy from the elements	-0.34	eV/atom
D(E_F)	10.47	states/eV/cell

VASP calculation (PBE) on a geometry-optimized La6PmHg structure.

Lattice parameters (Å, degrees): 5.1085 5.1085 10.3723 90.00 90.00 90.00
With the nearest neighbours (Å) after each atom.
Fractional positions:
La (0.0000, 0.0000, 0.0000)  8 La 3.60, 4 Hg 3.61
La (0.0000, 0.0000, 0.5000)  4 Pm 3.61, 8 La 3.68
La (0.0000, 0.5000, 0.2445)  2 Hg 3.60, 8 La 3.60-3.68, 2 Pm 3.68
La (0.0000, 0.5000, 0.7555)  2 Hg 3.60, 8 La 3.60-3.68, 2 Pm 3.68
La (0.5000, 0.0000, 0.2445)  2 Hg 3.60, 8 La 3.60-3.68, 2 Pm 3.68
La (0.5000, 0.0000, 0.7555)  2 Hg 3.60, 8 La 3.60-3.68, 2 Pm 3.68
Pm (0.5000, 0.5000, 0.5000)  12 La 3.61-3.68
Hg (0.5000, 0.5000, 0.0000)  12 La 3.60-3.61

Results
E above lowest polymorph	0.00	kcal/mol of atoms
raw total energy	-4.41	eV per atom
formation energy from the elements	-0.09	eV/atom
D(E_F)	9.46	states/eV/cell

VASP calculation (PBE) on a geometry-optimized LaPm4Hg structure.

Lattice parameters (Å, degrees): 3.7045 3.7045 14.2935 90.00 90.00 90.00
With the nearest neighbours (Å) after each atom.
Fractional positions:
La (0.0000, 0.0000, 0.0000)  8 Pm 3.70, 4 La 3.70
Pm (0.0000, 0.0000, 0.3597)  4 Hg 3.30, 4 Pm 3.64
Pm (0.0000, 0.0000, 0.6403)  4 Hg 3.30, 4 Pm 3.64
Pm (0.5000, 0.5000, 0.1825)  8 Pm 3.64-3.70, 4 La 3.70
Pm (0.5000, 0.5000, 0.8175)  8 Pm 3.64-3.70, 4 La 3.70
Hg (0.5000, 0.5000, 0.5000)  8 Pm 3.30

Results
E above lowest polymorph	0.00	kcal/mol of atoms
raw total energy	-4.19	eV per atom
formation energy from the elements	-0.15	eV/atom
D(E_F)	8.44	states/eV/cell